Entry 1:
Entry from Alexandria: Zr2TaFe after structural relaxation (PBE). Values from VASP.

- Symmetry: Pmmm
- Polymorph energy (0 for the lowest one): 0.96 eV per formula unit
- Spin magnetization: 0.010 μB/f.u.
- Energy of formation: 0.198 eV per atom
- Calculated volume: 18.040 A^3/atom

Geometry as Quantum ESPRESSO input:
```
&SYSTEM
  ibrav = 0, nat = 4, ntyp = 3
/
ATOMIC_SPECIES
Zr 91.22 Zr.upf
Ta 180.95 Ta.upf
Fe 55.84 Fe.upf
ATOMIC_POSITIONS angstrom
Zr 1.650 2.418 0.000
Zr 0.000 0.000 0.000
Ta 0.000 2.418 2.260
Fe 1.650 0.000 2.260
CELL_PARAMETERS angstrom
3.301 0.000 0.000
0.000 4.837 0.000
0.000 0.000 4.520
```

---

Entry 2:
Entry from Alexandria: Zr2Ta3Fe after structural relaxation (PBE). Values from VASP.

- Symmetry: P6_3/mmc
- Spin magnetization: 0.000 μB/f.u.
- Energy of formation: -0.104 eV per atom
- Calculated volume: 18.828 A^3/atom

Geometry as Quantum ESPRESSO input:
```
&SYSTEM
  ibrav = 0, nat = 12, ntyp = 3
/
ATOMIC_SPECIES
Zr 91.22 Zr.upf
Ta 180.95 Ta.upf
Fe 55.84 Fe.upf
ATOMIC_POSITIONS angstrom
Zr -7.910 -0.100 2.761
Zr -1.248 -3.023 -0.357
Zr -4.266 -2.303 -0.298
Zr -4.892 -0.820 2.702
Ta -2.221 -0.786 4.153
Ta -2.781 -2.995 2.468
Ta -2.199 -0.462 1.338
Ta -6.959 -2.661 1.066
Ta -6.377 -0.128 -0.065
Ta -6.937 -2.337 -1.749
Fe 0.000 0.000 0.000
Fe -4.001 0.955 0.078
CELL_PARAMETERS angstrom
-1.113 -4.390 -3.347
-0.044 -0.643 5.594
-8.001 1.909 0.157
```